Version A
This record from the Open Quantum Materials Database describes crystalline MgTaNbMo at its relaxed geometry. The functional is GGA-PBE.

POSCAR file:
```
MgTaNbMo
1.0
-4.4741 -0.9990 0.7065
-3.0279 3.4053 0.8667
-3.1657 1.1555 -3.1872
Nb Mg Ta Mo
1 1 1 1
direct
0.5000 0.5000 0.5000
0.7500 0.7500 0.7500
0.0000 0.0000 0.0000
0.2500 0.2500 0.2500
```

Output
Symmetry: F-43m


Version B
This record from the Open Quantum Materials Database describes crystalline MgTaNbMo at its relaxed geometry. The functional is GGA-PBE.

POSCAR file:
```
MgTaNbMo
1.0
-0.2608 -3.7824 -2.6694
-3.7417 -2.7308 0.2078
-2.9762 -0.1292 -3.5533
Mg Nb Mo Ta
1 1 1 1
direct
0.7500 0.7500 0.7500
0.5000 0.5000 0.5000
0.0000 0.0000 0.0000
0.2500 0.2500 0.2500
```

Output
Symmetry: F-43m


Most stable one: version A, least stable one: version B.